[1]
Material: Tl3ZnCl5
Method: DFT, PBE-GGA
State: optimized geometry

Cell: 8.554 8.554 9.513 Å, 116.72 116.72 90.00°
Sites, in units of the cell vectors:
Tl  0.664  0.164  0.000
Tl  0.336  0.836  0.000
Tl  0.836  0.664  0.000
Tl  0.164  0.336  0.000
Tl  0.250  0.250  0.500
Tl  0.750  0.750  0.500
Zn  0.750  0.250  0.500
Zn  0.250  0.750  0.500
Cl  0.995  0.495  0.690
Cl  0.695  0.195  0.690
Cl  0.195  0.995  0.690
Cl  0.495  0.695  0.690
Cl  0.005  0.505  0.310
Cl  0.305  0.805  0.310
Cl  0.805  0.005  0.310
Cl  0.505  0.305  0.310
Cl  0.500  0.500  0.000
Cl  0.000  0.000  0.000

Summary:
The formation energy (no corrections) is -1074 meV per atom. As for the total magnetization: 0.0 μB/f.u.



[2]
Material: ThBiH
Method: DFT, PBE-GGA
State: optimized geometry

Cell: 3.460 3.460 6.309 Å, 105.92 105.92 90.00°
Sites, in units of the cell vectors:
H  0.272  0.272  0.545
Bi  0.008  0.008  0.016
Th  0.720  0.720  0.439

Summary:
The distance to the lowest polymorph of the same formula comes out at 414 meV per atom. As for the total magnetization: 0.0 μB/f.u.



[3]
Material: KUBeO5
Method: DFT, PBE-GGA
State: optimized geometry

Cell: 5.837 5.837 8.024 Å, 106.03 106.03 104.58°
Last column: magnetic moment on the atom in μB.
Sites, in units of the cell vectors:
K  0.337  0.663  0.250  0.00
K  0.663  0.337  0.750  0.00
U  0.000  0.000  0.500  -0.03
U  0.000  0.000  0.000  -0.03
Be  0.692  0.308  0.250  0.00
Be  0.308  0.692  0.750  0.00
O  0.065  0.935  0.250  0.11
O  0.935  0.065  0.750  0.11
O  0.875  0.275  0.120  0.16
O  0.125  0.725  0.880  0.16
O  0.725  0.125  0.380  0.16
O  0.275  0.875  0.620  0.16
O  0.777  0.614  0.382  0.21
O  0.223  0.386  0.618  0.21
O  0.386  0.223  0.118  0.21
O  0.614  0.777  0.882  0.21

Summary:
The formation energy (no corrections) is -2422 meV per atom. As for the total magnetization: 1.0 μB/f.u.



[4]
Material: AcHoTe3Pd
Method: DFT, PBE-GGA
State: optimized geometry

Cell: 4.385 8.478 10.175 Å, 102.37 90.00 90.00°
Sites, in units of the cell vectors:
Ac  0.250  0.190  0.285
Ac  0.750  0.810  0.715
Ho  0.250  0.681  0.173
Ho  0.750  0.319  0.827
Te  0.750  0.915  0.131
Te  0.250  0.085  0.869
Te  0.250  0.737  0.469
Te  0.750  0.263  0.531
Te  0.750  0.418  0.147
Te  0.250  0.582  0.853
Pd  0.250  0.082  0.598
Pd  0.750  0.918  0.402

Summary:
The formation energy (no corrections) is -1301 meV per atom. As for the total magnetization: 0.0 μB/f.u.



[5]
Material: Sb3TeRh
Method: DFT, PBE-GGA
State: optimized geometry

Cell: 5.190 5.190 5.190 Å, 90.00 90.00 90.00°
Sites, in units of the cell vectors:
Sb  0.000  0.500  0.000
Sb  0.000  0.000  0.500
Sb  0.500  0.000  0.000
Te  0.500  0.500  0.500
Rh  0.000  0.000  0.000

Summary:
The distance to the lowest polymorph of the same formula comes out at 0 meV per atom. The formation energy (no corrections) is 243 meV per atom. As for the total magnetization: 0.0 μB/f.u.



[6]
Material: FeTcSN2
Method: DFT, PBE-GGA
State: optimized geometry

Cell: 3.776 3.776 5.146 Å, 90.00 90.00 90.00°
Last column: magnetic moment on the atom in μB.
Sites, in units of the cell vectors:
S  0.000  0.000  0.500  0.07
N  0.000  0.500  0.000  0.02
N  0.500  0.000  0.000  0.02
Tc  0.000  0.000  0.000  -0.17
Fe  0.500  0.500  0.500  3.35

Summary:
The distance to the lowest polymorph of the same formula comes out at 0 meV per atom. The formation energy (no corrections) is 731 meV per atom. As for the total magnetization: 3.5 μB/f.u.



[7]
Material: KTeSCl2
Method: DFT, PBE-GGA
State: optimized geometry

Cell: 5.571 5.571 6.040 Å, 90.00 90.00 90.00°
Last column: magnetic moment on the atom in μB.
Sites, in units of the cell vectors:
K  0.000  0.000  0.000  0.02
Te  0.500  0.500  0.500  1.09
S  0.000  0.000  0.500  0.53
Cl  0.000  0.500  0.000  0.26
Cl  0.500  0.000  0.000  0.26

Summary:
The distance to the lowest polymorph of the same formula comes out at 1059 meV per atom. The formation energy (no corrections) is 358 meV per atom. As for the total magnetization: 3.6 μB/f.u.



[8]
Material: SmNpPdO6
Method: DFT, PBE-GGA
State: optimized geometry

Cell: 5.387 5.387 10.358 Å, 90.00 90.00 120.00°
Last column: magnetic moment on the atom in μB.
Sites, in units of the cell vectors:
Sm  0.000  0.000  0.000  0.01
Sm  0.000  0.000  0.500  0.01
Np  0.667  0.333  0.250  1.38
Np  0.333  0.667  0.750  1.38
Pd  0.333  0.667  0.250  0.50
Pd  0.667  0.333  0.750  0.50
O  0.653  0.648  0.138  0.01
O  0.995  0.347  0.138  0.01
O  0.347  0.995  0.638  0.01
O  0.005  0.653  0.862  0.01
O  0.352  0.347  0.362  0.01
O  0.995  0.648  0.362  0.01
O  0.648  0.995  0.862  0.01
O  0.653  0.005  0.362  0.01
O  0.005  0.352  0.638  0.01
O  0.352  0.005  0.138  0.01
O  0.648  0.653  0.638  0.01
O  0.347  0.352  0.862  0.01

Summary:
The formation energy (no corrections) is -2259 meV per atom. As for the total magnetization: 2.0 μB/f.u.



[9]
Material: AlHPd3
Method: DFT, PBE-GGA
State: optimized geometry

Cell: 4.732 5.616 4.927 Å, 90.00 105.91 90.00°
Sites, in units of the cell vectors:
H  0.005  0.250  0.434
H  0.995  0.750  0.566
Al  0.710  0.250  0.772
Al  0.290  0.750  0.228
Pd  0.797  0.994  0.211
Pd  0.203  0.006  0.789
Pd  0.797  0.506  0.211
Pd  0.203  0.494  0.789
Pd  0.330  0.250  0.314
Pd  0.670  0.750  0.686

Summary:
The distance to the lowest polymorph of the same formula comes out at 73 meV per atom. As for the total magnetization: 0.0 μB/f.u.



[10]
Material: LaMg2Sb
Method: DFT, PBE-GGA
State: optimized geometry

Cell: 4.270 3.451 8.101 Å, 64.85 90.00 90.00°
Sites, in units of the cell vectors:
La  0.500  0.758  0.741
Mg  0.000  0.955  0.044
Mg  0.500  0.254  0.245
Sb  0.000  0.533  0.470

Summary:
The formation energy (no corrections) is -372 meV per atom. As for the total magnetization: 0.0 μB/f.u.



[11]
Material: Hf3Be8Co
Method: DFT, PBE-GGA
State: optimized geometry

Cell: 4.587 4.587 8.109 Å, 73.57 73.57 60.00°
Sites, in units of the cell vectors:
Hf  0.377  0.377  0.868
Hf  0.993  0.993  0.022
Hf  0.504  0.504  0.487
Be  0.934  0.435  0.197
Be  0.437  0.941  0.680
Be  0.435  0.435  0.197
Be  0.941  0.941  0.680
Be  0.188  0.188  0.436
Be  0.687  0.687  0.940
Be  0.435  0.934  0.197
Be  0.941  0.437  0.680
Co  0.878  0.878  0.367

Summary:
As for the total magnetization: 0.0 μB/f.u. The formation energy is -1.84 eV/f.u.



[12]
Material: AgSb2AuI
Method: DFT, PBE-GGA
State: optimized geometry

Cell: 5.432 5.432 5.729 Å, 90.00 90.00 90.00°
Last column: magnetic moment on the atom in μB.
Sites, in units of the cell vectors:
I  0.000  0.000  0.500  0.10
Sb  0.000  0.500  0.000  0.24
Sb  0.500  0.000  0.000  0.24
Au  0.000  0.000  0.000  0.04
Ag  0.500  0.500  0.500  0.02

Summary:
The distance to the lowest polymorph of the same formula comes out at 0 meV per atom. The formation energy (no corrections) is 681 meV per atom. As for the total magnetization: 1.4 μB/f.u.